NpZnCoO6: optimized geometry, PBE+U.

a b c (Å): 5.1449 5.1449 8.6978
angles (deg): 90.00 90.00 120.00
Space group P-31c (No. 163)
One atom of each set of equivalent atoms:
Np (0.3333, 0.6667, 0.2500) [2 per cell]
Zn (0.3333, 0.6667, 0.7500) [2 per cell]
Co (0.0000, 0.0000, 0.0000) [2 per cell]
O (0.0127, 0.3243, 0.1226) [12 per cell]

Results
Total energy (eV per atom): -7.0818